1.
Compound: Tl2In2Sn2Hg
Source: the Alexandria database
Functional: PBE-GGA
Structure: relaxed

Output
The formation energy from the elements comes out at 0.2 eV/f.u. For the electronic total energy, the calculation gives -18.30 eV for the cell shown. The value obtained for the calculated volume is 199.1 Å³ per cell. Its space-group type is P-1, No. 2.

Cell: 5.538 6.208 6.567 Å, 103.11 114.25 90.72°
Positions (direct):
Tl 0.072 0.281 0.142
Tl 0.928 0.719 0.858
In 0.234 0.835 0.469
In 0.766 0.165 0.531
Sn 0.364 0.391 0.731
Sn 0.636 0.609 0.269
Hg 0.500 0.000 0.000

2.
Compound: AlInAu3
Source: the Alexandria database
Functional: PBE-GGA
Structure: relaxed

Output
For the offset from the most stable computed form, the calculation gives 802.8 meV/atom. The formation energy from the elements comes out at 2.8 eV/f.u. For the electronic total energy, the calculation gives -13.53 eV for the cell shown. The value obtained for the calculated volume is 142.9 Å³ per cell. Its space-group type is Pm-3m, No. 221.

Cell: 5.228 5.228 5.228 Å, 90.00 90.00 90.00°
Positions (direct):
Al 0.000 0.000 0.000
In 0.500 0.500 0.500
Au 0.000 0.500 0.500
Au 0.500 0.000 0.500
Au 0.500 0.500 0.000

3.
Compound: La4NbAs2
Source: the Alexandria database
Functional: PBE-GGA
Structure: relaxed

Output
The formation energy from the elements comes out at -1.9 eV/f.u. For the electronic total energy, the calculation gives -41.02 eV for the cell shown. The value obtained for the calculated volume is 222.5 Å³ per cell. Its space-group type is I4/mmm, No. 139.

Cell: 9.034 9.034 9.034 Å, 146.60 146.60 47.96°
Positions (direct):
La 0.000 0.500 0.500
La 0.182 0.182 0.000
La 0.500 0.000 0.500
La 0.818 0.818 0.000
Nb 0.000 0.000 0.000
As 0.364 0.364 0.000
As 0.636 0.636 0.000

4.
Compound: GdPaInPb
Source: the Alexandria database
Functional: PBE-GGA
Structure: relaxed

Output
The formation energy from the elements comes out at -0.3 eV/f.u. For the electronic total energy, the calculation gives -30.34 eV for the cell shown. The value obtained for the calculated volume is 111.3 Å³ per cell. Its space-group type is F-43m, No. 216.

Cell: 5.399 5.399 5.399 Å, 60.00 60.00 60.00°
Positions (direct):
Gd 0.000 0.000 0.000
Pa 0.500 0.500 0.500
In 0.250 0.250 0.250
Pb 0.750 0.750 0.750

5.
Compound: KNbPt3
Source: the Alexandria database
Functional: PBE-GGA
Structure: relaxed

Output
For the offset from the most stable computed form, the calculation gives 0.0 meV/atom. The formation energy from the elements comes out at 2.1 eV/f.u. For the electronic total energy, the calculation gives -27.18 eV for the cell shown. The value obtained for the calculated volume is 125.2 Å³ per cell. Its space-group type is Pm-3m, No. 221.

Cell: 5.002 5.002 5.002 Å, 90.00 90.00 90.00°
Positions (direct):
K 0.000 0.000 0.000
Nb 0.500 0.500 0.500
Pt 0.000 0.500 0.500
Pt 0.500 0.000 0.500
Pt 0.500 0.500 0.000

6.
Compound: HfSc3Pb
Source: the Alexandria database
Functional: PBE-GGA
Structure: relaxed

Output
For the offset from the most stable computed form, the calculation gives 850.6 meV/atom. The formation energy from the elements comes out at 3.3 eV/f.u. For the electronic total energy, the calculation gives -29.32 eV for the cell shown. The value obtained for the calculated volume is 142.3 Å³ per cell. Its space-group type is Pm-3m, No. 221.

Cell: 5.221 5.221 5.221 Å, 90.00 90.00 90.00°
Positions (direct):
Hf 0.000 0.000 0.000
Sc 0.000 0.000 0.500
Sc 0.000 0.500 0.000
Sc 0.500 0.000 0.000
Pb 0.500 0.500 0.500

7.
Compound: CaTe2MoI
Source: the Alexandria database
Functional: PBE-GGA
Structure: relaxed

Output
For the offset from the most stable computed form, the calculation gives 0.0 meV/atom. For the electronic total energy, the calculation gives -21.10 eV for the cell shown. The value obtained for the calculated volume is 163.1 Å³ per cell. Its space-group type is P4/mmm, No. 123.

Cell: 5.295 5.295 5.818 Å, 90.00 90.00 90.00°
Positions (direct):
Ca 0.000 0.000 0.000
Te 0.000 0.500 0.500
Te 0.500 0.000 0.500
Mo 0.500 0.500 0.500
I 0.500 0.500 0.000

8.
Compound: K2BaTl2
Source: the Alexandria database
Functional: PBE-GGA
Structure: relaxed

Output
For the offset from the most stable computed form, the calculation gives 0.0 meV/atom. The formation energy from the elements comes out at -0.4 eV/f.u. For the electronic total energy, the calculation gives -9.23 eV for the cell shown. The value obtained for the calculated volume is 221.4 Å³ per cell. Its space-group type is I4/mmm, No. 139.

Cell: 9.179 9.179 9.179 Å, 147.58 147.58 46.50°
Positions (direct):
K 0.250 0.750 0.500
K 0.750 0.250 0.500
Ba 0.000 0.000 0.000
Tl 0.408 0.408 0.000
Tl 0.592 0.592 0.000

9.
Compound: Nd2AlCd3
Source: the Alexandria database
Functional: PBE-GGA
Structure: relaxed

Output
For the offset from the most stable computed form, the calculation gives 0.0 meV/atom. The formation energy from the elements comes out at -2.1 eV/f.u. For the electronic total energy, the calculation gives -18.16 eV for the cell shown. The value obtained for the calculated volume is 153.2 Å³ per cell. Its space-group type is Pmm2, No. 25.

Cell: 3.652 4.924 8.520 Å, 90.00 90.00 90.00°
Positions (direct):
Nd 0.000 0.000 0.000
Nd 0.000 0.500 0.484
Al 0.500 0.000 0.326
Cd 0.500 0.000 0.653
Cd 0.500 0.500 0.163
Cd 0.500 0.500 0.824

10.
Compound: AlBrCl2
Source: the Alexandria database
Functional: PBE-GGA
Structure: relaxed

Output
For the offset from the most stable computed form, the calculation gives 1298.6 meV/atom. For the electronic total energy, the calculation gives -9.29 eV for the cell shown. The value obtained for the calculated volume is 101.8 Å³ per cell. Its space-group type is Pmmm, No. 47.

Cell: 3.805 4.124 6.485 Å, 90.00 90.00 90.00°
Positions (direct):
Al 0.000 0.000 0.000
Br 0.500 0.000 0.500
Cl 0.000 0.500 0.500
Cl 0.500 0.500 0.000

11.
Compound: GePAuN
Source: the Alexandria database
Functional: PBE-GGA
Structure: relaxed

Output
For the offset from the most stable computed form, the calculation gives 35.6 meV/atom. For the electronic total energy, the calculation gives -21.15 eV for the cell shown. The value obtained for the calculated volume is 67.8 Å³ per cell. Its space-group type is Pm, No. 6.

Cell: 4.840 2.815 5.023 Å, 90.00 97.77 90.00°
Positions (direct):
Ge 0.000 0.000 0.000
P 0.371 0.500 0.441
Au 0.495 0.500 0.954
N 0.153 0.000 0.399

12.
Compound: Pm3Zn2Sn
Source: the Alexandria database
Functional: PBE-GGA
Structure: relaxed

Output
For the offset from the most stable computed form, the calculation gives 0.0 meV/atom. The formation energy from the elements comes out at -2.7 eV/f.u. For the electronic total energy, the calculation gives -47.04 eV for the cell shown. The value obtained for the calculated volume is 312.5 Å³ per cell. Its space-group type is P-3m1, No. 164.

Cell: 5.261 5.261 13.033 Å, 90.00 90.00 120.00°
Positions (direct):
Pm 0.000 0.000 0.241
Pm 0.000 0.000 0.759
Pm 0.333 0.667 0.415
Pm 0.333 0.667 0.923
Pm 0.667 0.333 0.077
Pm 0.667 0.333 0.585
Zn 0.000 0.000 0.000
Zn 0.000 0.000 0.500
Zn 0.333 0.667 0.157
Zn 0.667 0.333 0.843
Sn 0.333 0.667 0.668
Sn 0.667 0.333 0.332